## LiPr3Th2Te6 (PBE)

Data for crystalline LiPr3Th2Te6 at its relaxed geometry.

Computed properties:
ρ: 7.26 g cm⁻³
crystal system: monoclinic
DFT total energy: -5.428 eV/atom
density of states at the Fermi level: 0.57 states/eV per atom

Unit cell a=19.5128 b=4.4716 c=8.9591 alpha=90.00 beta=103.80 gamma=90.00
Closest atoms and distances in Å follow each position.
Space group C2/m (No. 12)
One atom of each set of equivalent atoms:
Li (0.0000, 0.0000, 0.0000) [2 per cell]  6 Te 2.98-3.08
Pr (0.0000, 0.0000, 0.5000) [2 per cell]  6 Te 3.11-3.25
Pr (0.1709, 0.5000, 0.8357) [4 per cell]  6 Te 3.14-3.28
Th (0.1703, 0.5000, 0.3441) [4 per cell]  6 Te 3.14-3.20
Te (0.0019, 0.5000, 0.2372) [4 per cell]  2 Li 3.08, 1 Th 3.20, 3 Pr 3.25-3.28
Te (0.1572, 0.0000, 0.0850) [4 per cell]  1 Li 2.98, 2 Th 3.19, 3 Pr 3.22-3.26
Te (0.1643, 0.0000, 0.5874) [4 per cell]  3 Pr 3.11-3.14, 3 Th 3.14